! SrCd2Te | the Alexandria database | PBE-GGA | relaxed; values from VASP
&SYSTEM
  ibrav = 0, nat = 4, ntyp = 3
/
ATOMIC_SPECIES
Cd 112.41 Cd.upf
Sr 87.62 Sr.upf
Te 127.60 Te.upf
CELL_PARAMETERS angstrom
-2.535 -5.324 0.270
4.577 -3.721 0.217
-1.038 4.715 3.397
ATOMIC_POSITIONS crystal
Cd 0.000 0.000 0.000
Cd 0.250 0.750 0.500
Sr 0.500 0.500 0.000
Te 0.750 0.250 0.500
! Total magnetization, μB per formula unit: 0.00
! Formation energy (no corrections), eV/atom: -0.5003
! Theoretical density, Mg/m³: 5.92